Here is PmY2PbN after structural relaxation from Alexandria. Energies are from PBE.

Results
As for the space group: P4/mmm, No. 123. The total energy is -6.887 eV/atom. The energy relative to the elements, uncorrected comes out at -0.94 eV/atom. As for the volume: 23.444 Å³ per atom.

Lattice parameters (Å, degrees): 4.8390 4.8390 5.0060 90.00 90.00 90.00
Closest atoms and distances in Å follow each position.
Fractional positions:
Pm  0.0000  0.0000  0.0000  2 N 2.50
Y  0.0000  0.5000  0.5000  2 N 2.42
Y  0.5000  0.0000  0.5000  2 N 2.42
Pb  0.5000  0.5000  0.0000  4 Pm 3.42, 8 Y 3.48
N  0.0000  0.0000  0.5000  4 Y 2.42, 2 Pm 2.50